NaCo3Pd2Se8: relaxed, GGA-PBE.

a b c (Å): 7.1311 7.1311 19.2507
angles (deg): 90.00 90.00 120.00
Space group R3m (No. 160, hexagonal axes)
One atom of each set of equivalent atoms:
1 Na 0.0000 0.0000 0.0000 x3
2 Co 0.0018 0.5009 0.8609 x9
3 Pd 0.0000 0.0000 0.3585 x3
4 Pd 0.0000 0.0000 0.7309 x3
5 Se 0.0000 0.0000 0.1342 x3
6 Se 0.0000 0.0000 0.5956 x3
7 Se 0.0344 0.5172 0.1203 x9
8 Se 0.1874 0.3748 0.9293 x9

## Properties
Volume   20.186 Å³ per atom
Raw total energy   -197.01 eV per cell
Magnetic moment   0.00 μB per atom
Uncorrected formation energy   -4.8 eV/f.u.

=====

NaCoPdW2: relaxed, GGA-PBE.

a b c (Å): 4.529 4.529 4.122
angles (deg): 90.00 90.00 90.00
Space group P4/mmm (No. 123)
One atom of each set of equivalent atoms:
1 Na 0.000 0.000 0.000 x1
2 Co 0.000 0.000 0.500 x1
3 Pd 0.500 0.500 0.500 x1
4 W 0.000 0.500 0.000 x2

## Properties
Volume   16.913 Å³ per atom
Formation energy   2.6298 eV per atom
Raw total energy   -26.38 eV per cell
Magnetic moment   0.23 μB per atom

=====

NaPm12Co6: relaxed, GGA-PBE.

a b c (Å): 10.045 10.045 10.045
angles (deg): 90.00 90.00 90.00
Space group Im-3 (No. 204)
One atom of each set of equivalent atoms:
1 Na 0.000 0.000 0.000 x2
2 Pm 0.000 0.197 0.311 x24
3 Co 0.000 0.389 0.500 x12

## Properties
Volume   26.676 Å³ per atom
Formation energy   -0.0758 eV per atom
Raw total energy   -204.81 eV per cell
Magnetic moment   0.00 μB per atom

=====

NaPmCo4: relaxed, GGA-PBE.

a b c (Å): 7.182 7.182 7.182
angles (deg): 90.00 90.00 90.00
Space group F-43m (No. 216)
One atom of each set of equivalent atoms:
1 Na 0.000 0.000 0.000 x4
2 Pm 0.250 0.250 0.250 x4
3 Co 0.125 0.125 0.625 x16

## Properties
Volume   15.439 Å³ per atom
Formation energy   0.1598 eV per atom
Raw total energy   -134.14 eV per cell
Magnetic moment   0.95 μB per atom

=====

NaPmCo: relaxed, GGA-PBE.

a b c (Å): 3.941 3.942 13.031
angles (deg): 90.00 89.99 60.01
Space group P1 (No. 1)
One atom of each set of equivalent atoms:
1 Na 0.000 0.000 0.000 x1
2 Na 0.333 0.332 0.766 x1
3 Pm 0.666 0.669 0.242 x1
4 Pm 0.666 0.669 0.524 x1
5 Co 0.333 0.336 0.383 x1
6 Co 0.999 0.002 0.383 x1

## Properties
Volume   29.221 Å³ per atom
Formation energy   -0.0814 eV per atom
Raw total energy   -26.84 eV per cell
Magnetic moment   0.06 μB per atom

=====

NaPr3Co: relaxed, GGA-PBE.

a b c (Å): 5.517 5.517 5.517
angles (deg): 90.00 90.00 90.00
Space group Pm-3m (No. 221)
One atom of each set of equivalent atoms:
1 Na 0.000 0.000 0.000 x1
2 Pr 0.000 0.500 0.500 x3
3 Co 0.500 0.500 0.500 x1

## Properties
Volume   33.585 Å³ per atom
Formation energy   0.0974 eV per atom
Raw total energy   -22.28 eV per cell
Magnetic moment   0.00 μB per atom

=====

NaPr12Co6: relaxed, GGA-PBE.

a b c (Å): 10.204 10.204 10.204
angles (deg): 90.00 90.00 90.00
Space group Im-3 (No. 204)
One atom of each set of equivalent atoms:
1 Na 0.000 0.000 0.000 x2
2 Pr 0.000 0.196 0.312 x24
3 Co 0.000 0.390 0.500 x12

## Properties
Volume   27.964 Å³ per atom
Formation energy   -0.0387 eV per atom
Raw total energy   -204.09 eV per cell
Magnetic moment   0.00 μB per atom

=====

NaPr8Co2: relaxed, GGA-PBE.

a b c (Å): 15.273 7.142 6.475
angles (deg): 90.00 96.58 90.00
Space group C2/m (No. 12)
One atom of each set of equivalent atoms:
1 Na 0.000 0.000 0.000 x2
2 Pr 0.077 0.500 0.828 x4
3 Pr 0.134 0.245 0.394 x8
4 Pr 0.211 0.000 0.888 x4
5 Co 0.230 0.500 0.671 x4

## Properties
Volume   31.897 Å³ per atom
Formation energy   0.0495 eV per atom
Raw total energy   -106.44 eV per cell
Magnetic moment   0.00 μB per atom

=====

NaCo3Pt: relaxed, GGA-PBE.

a b c (Å): 4.711 4.711 4.711
angles (deg): 90.00 90.00 90.00
Space group Pm-3m (No. 221)
One atom of each set of equivalent atoms:
1 Na 0.000 0.000 0.000 x1
2 Co 0.000 0.500 0.500 x3
3 Pt 0.500 0.500 0.500 x1

## Properties
Volume   20.908 Å³ per atom
Formation energy   0.9841 eV per atom
Offset from the most stable computed form   0 meV/atom
Raw total energy   -23.76 eV per cell
Magnetic moment   1.31 μB per atom

=====

NaCo2Pt: relaxed, GGA-PBE.

a b c (Å): 3.952 3.952 17.932
angles (deg): 90.00 90.00 90.00
Space group I-42d (No. 122)
One atom of each set of equivalent atoms:
1 Na 0.000 0.000 0.000 x4
2 Co 0.142 0.250 0.625 x8
3 Pt 0.000 0.000 0.500 x4

## Properties
Volume   17.505 Å³ per atom
Formation energy   0.6288 eV per atom
Offset from the most stable computed form   207 meV/atom
Raw total energy   -76.23 eV per cell
Magnetic moment   1.00 μB per atom

=====

NaCo2Pt: relaxed, GGA-PBE.

a b c (Å): 6.095 6.095 6.095
angles (deg): 90.00 90.00 90.00
Space group Fm-3m (No. 225)
One atom of each set of equivalent atoms:
1 Na 0.000 0.000 0.000 x4
2 Co 0.250 0.250 0.250 x8
3 Pt 0.000 0.000 0.500 x4

## Properties
Volume   14.153 Å³ per atom
Formation energy   0.4215 eV per atom
Offset from the most stable computed form   0 meV/atom
Raw total energy   -79.54 eV per cell
Magnetic moment   0.98 μB per atom

=====

NaCo2Pt2: relaxed, GGA-PBE.

a b c (Å): 3.871 3.871 11.360
angles (deg): 90.00 90.00 90.00
Space group I4/mmm (No. 139)
One atom of each set of equivalent atoms:
1 Na 0.000 0.000 0.000 x2
2 Co 0.000 0.500 0.250 x4
3 Pt 0.000 0.000 0.388 x4

## Properties
Volume   17.026 Å³ per atom
Formation energy   0.1825 eV per atom
Offset from the most stable computed form   234 meV/atom
Raw total energy   -53.40 eV per cell
Magnetic moment   0.99 μB per atom